4
Lattice="-7.065 3.713 -4.917 -8.487 3.291 -2.238 -6.829 5.822 -2.709" Properties=species:S:1:pos:R:3 comment="Sc2CrW, relaxed, DFT PBE" e_above_lowest_polymorph_kj_per_mol_atoms=22.2 final_energy_ev_per_atom=-8.4560 magmom_total_mub_per_cell=0.00 formation_enthalpy_0k_ev_per_atom=0.35 pbc="T T T"
Sc -0.308 0.176 -0.136
W -10.927 6.262 -4.816
Sc -5.359 3.071 -2.362
Cr -16.977 9.730 -7.482


4
Lattice="-1.126 -4.741 1.783 1.772 -4.777 0.980 1.162 -0.782 4.230" Properties=species:S:1:pos:R:3 comment="ScCr2W, relaxed, DFT PBE" e_above_lowest_polymorph_kj_per_mol_atoms=3.2 final_energy_ev_per_atom=-9.3924 magmom_total_mub_per_cell=0.37 formation_enthalpy_0k_ev_per_atom=0.24 pbc="T T T"
Cr 1.156 -0.886 4.212
Sc 0.907 -5.097 3.506
Cr 1.367 -7.540 5.276
W 0.444 -2.710 1.726


4
Lattice="2.723 0.002 0.000 -0.926 2.561 0.000 0.000 0.000 8.654" Properties=species:S:1:pos:R:3 comment="ScCr2W, relaxed, DFT PBE" e_above_lowest_polymorph_kj_per_mol_atoms=12.7 final_energy_ev_per_atom=-9.2942 magmom_total_mub_per_cell=0.00 formation_enthalpy_0k_ev_per_atom=0.34 pbc="T T T"
W 0.899 1.281 6.490
Sc 0.899 1.281 2.163
Cr 0.000 0.000 4.466
Cr 0.000 0.000 8.515


4
Lattice="-4.486 -2.681 1.026 4.554 -1.260 2.457 -0.581 1.723 1.960" Properties=species:S:1:pos:R:3 comment="ScCrW2, relaxed, DFT PBE" e_above_lowest_polymorph_kj_per_mol_atoms=27.1 final_energy_ev_per_atom=-10.0143 magmom_total_mub_per_cell=0.00 formation_enthalpy_0k_ev_per_atom=0.45 pbc="T T T"
Cr -2.534 -0.479 1.493
W 0.034 -1.971 1.742
W 0.000 0.000 0.000
Sc 1.987 0.231 2.209